[1]
Density functional theory data (PBE) for SrCuF2 after structural relaxation.

**Distance to the lowest polymorph of the same formula**: 0.211 eV per atom
**Uncorrected energy**: -69.78 eV for the cell shown
**SG**: I-42d, No. 122
**Crystal system**: tetragonal

a b c (Å): 5.1041 5.1041 12.8587
angles (deg): 90.00 90.00 90.00
Sites, in units of the cell vectors:
Sr1 0.0000 0.0000 0.0000
Sr2 0.0000 0.5000 0.2500
Sr3 0.5000 0.0000 0.7500
Sr4 0.5000 0.5000 0.5000
Cu1 0.0000 0.0000 0.5000
Cu2 0.0000 0.5000 0.7500
Cu3 0.5000 0.0000 0.2500
Cu4 0.5000 0.5000 0.0000
F1 0.2302 0.2500 0.1250
F2 0.2500 0.7302 0.3750
F3 0.2500 0.7698 0.8750
F4 0.2698 0.2500 0.6250
F5 0.7302 0.7500 0.6250
F6 0.7500 0.2302 0.8750
F7 0.7500 0.2698 0.3750
F8 0.7698 0.7500 0.1250

[2]
Density functional theory data (PBE) for Li2InIr after structural relaxation.

**Energy relative to the elements**: -0.14 eV/atom
**Uncorrected energy**: -16.00 eV for the cell shown
**SG**: P4mm, No. 99
**Crystal system**: tetragonal

a b c (Å): 3.2116 3.2116 6.2022
angles (deg): 90.00 90.00 90.00
Sites, in units of the cell vectors:
Li1 0.0000 0.0000 0.0000
Li2 0.5000 0.5000 0.2396
In1 0.0000 0.0000 0.5350
Ir1 0.5000 0.5000 0.7906

[3]
Density functional theory data (PBE) for PrHoMgPa after structural relaxation.

**Energy relative to the elements**: 0.34 eV/atom
**Uncorrected energy**: -76.30 eV for the cell shown
**SG**: F-43m, No. 216
**Crystal system**: cubic

a b c (Å): 7.6931 7.6931 7.6931
angles (deg): 90.00 90.00 90.00
Sites, in units of the cell vectors:
Pr1 0.0000 0.0000 0.0000
Pr2 0.0000 0.5000 0.5000
Pr3 0.5000 0.0000 0.5000
Pr4 0.5000 0.5000 0.0000
Ho1 0.0000 0.0000 0.5000
Ho2 0.0000 0.5000 0.0000
Ho3 0.5000 0.0000 0.0000
Ho4 0.5000 0.5000 0.5000
Mg1 0.2500 0.2500 0.2500
Mg2 0.2500 0.7500 0.7500
Mg3 0.7500 0.2500 0.7500
Mg4 0.7500 0.7500 0.2500
Pa1 0.2500 0.2500 0.7500
Pa2 0.2500 0.7500 0.2500
Pa3 0.7500 0.2500 0.2500
Pa4 0.7500 0.7500 0.7500

[4]
Density functional theory data (PBE) for CdHPd2Pt after structural relaxation.

**Distance to the lowest polymorph of the same formula**: 0.000 eV per atom
**Uncorrected energy**: -21.92 eV for the cell shown
**SG**: P4/mmm, No. 123
**Crystal system**: tetragonal

a b c (Å): 4.1607 4.1607 3.9349
angles (deg): 90.00 90.00 90.00
Sites, in units of the cell vectors:
Cd1 0.0000 0.0000 0.0000
H1 0.5000 0.5000 0.5000
Pd1 0.0000 0.5000 0.5000
Pd2 0.5000 0.0000 0.5000
Pt1 0.5000 0.5000 0.0000

[5]
Density functional theory data (PBE) for Tm4GaPd after structural relaxation.

**Energy relative to the elements**: -0.46 eV/atom
**Uncorrected energy**: -57.79 eV for the cell shown
**SG**: C2/c, No. 15
**Crystal system**: monoclinic

a b c (Å): 8.0098 8.0098 5.8758
angles (deg): 105.12 105.12 113.26
Sites, in units of the cell vectors:
Tm1 0.0586 0.6904 0.9077
Tm2 0.2277 0.3645 0.7017
Tm3 0.3096 0.9414 0.5923
Tm4 0.3645 0.2277 0.2017
Tm5 0.6355 0.7723 0.7983
Tm6 0.6904 0.0586 0.4077
Tm7 0.7723 0.6355 0.2983
Tm8 0.9414 0.3096 0.0923
Ga1 0.3693 0.6307 0.2500
Ga2 0.6307 0.3693 0.7500
Pd1 0.9998 0.0002 0.2500
Pd2 0.0002 0.9998 0.7500

[6]
Density functional theory data (PBE) for Fe2C3N6 after structural relaxation.

**Distance to the lowest polymorph of the same formula**: 0.000 eV per atom
**Uncorrected energy**: -183.57 eV for the cell shown
**SG**: R-3c, No. 167
**Crystal system**: trigonal

a b c (Å): 9.7257 9.7257 9.7257
angles (deg): 31.32 31.32 31.32
Sites, in units of the cell vectors:
Fe1 0.1659 0.1659 0.1659
Fe2 0.3341 0.3341 0.3341
Fe3 0.6659 0.6659 0.6659
Fe4 0.8341 0.8341 0.8341
C1 0.0733 0.7500 0.4267
C2 0.2500 0.5733 0.9267
C3 0.4267 0.0733 0.7500
C4 0.5733 0.9267 0.2500
C5 0.7500 0.4267 0.0733
C6 0.9267 0.2500 0.5733
N1 0.0454 0.6590 0.4143
N2 0.0857 0.8410 0.4546
N3 0.1590 0.5454 0.9143
N4 0.3410 0.5857 0.9546
N5 0.4143 0.0454 0.6590
N6 0.4546 0.0857 0.8410
N7 0.5454 0.9143 0.1590
N8 0.5857 0.9546 0.3410
N9 0.6590 0.4143 0.0454
N10 0.8410 0.4546 0.0857
N11 0.9143 0.1590 0.5454
N12 0.9546 0.3410 0.5857

[7]
Density functional theory data (PBE) for Na2InSn4Au3 after structural relaxation.

**Energy relative to the elements**: -0.20 eV/atom
**Uncorrected energy**: -33.20 eV for the cell shown
**SG**: P-4m2, No. 115
**Crystal system**: tetragonal

a b c (Å): 4.6251 4.6251 12.1866
angles (deg): 90.00 90.00 90.00
Sites, in units of the cell vectors:
Na1 0.0000 0.5000 0.2466
Na2 0.5000 0.0000 0.7534
In1 0.0000 0.0000 0.5000
Sn1 0.0000 0.0000 0.0000
Sn2 0.0000 0.5000 0.6439
Sn3 0.5000 0.0000 0.3561
Sn4 0.5000 0.5000 0.0000
Au1 0.0000 0.5000 0.8634
Au2 0.5000 0.0000 0.1366
Au3 0.5000 0.5000 0.5000

[8]
Density functional theory data (PBE) for Ce3UPt12 after structural relaxation.

**Energy relative to the elements**: -0.92 eV/atom
**Uncorrected energy**: -116.30 eV for the cell shown
**SG**: P4/mmm, No. 123
**Crystal system**: tetragonal

a b c (Å): 4.1694 4.1694 16.6837
angles (deg): 90.00 90.00 90.00
Sites, in units of the cell vectors:
Ce1 0.0000 0.0000 0.0000
Ce2 0.0000 0.0000 0.2496
Ce3 0.0000 0.0000 0.7504
U1 0.0000 0.0000 0.5000
Pt1 0.0000 0.5000 0.1252
Pt2 0.0000 0.5000 0.3767
Pt3 0.0000 0.5000 0.6233
Pt4 0.0000 0.5000 0.8748
Pt5 0.5000 0.0000 0.1252
Pt6 0.5000 0.0000 0.3767
Pt7 0.5000 0.0000 0.6233
Pt8 0.5000 0.0000 0.8748
Pt9 0.5000 0.5000 0.0000
Pt10 0.5000 0.5000 0.2510
Pt11 0.5000 0.5000 0.5000
Pt12 0.5000 0.5000 0.7490

[9]
Density functional theory data (PBE) for La2YSe after structural relaxation.

**Uncorrected energy**: -42.94 eV for the cell shown
**SG**: I4/mmm, No. 139
**Crystal system**: tetragonal

a b c (Å): 4.6554 4.6554 10.7487
angles (deg): 90.00 90.00 90.00
Sites, in units of the cell vectors:
La1 0.0000 0.5000 0.2500
La2 0.0000 0.5000 0.7500
La3 0.5000 0.0000 0.2500
La4 0.5000 0.0000 0.7500
Y1 0.0000 0.0000 0.0000
Y2 0.5000 0.5000 0.5000
Se1 0.0000 0.0000 0.5000
Se2 0.5000 0.5000 0.0000

[10]
Density functional theory data (PBE) for Na2MgTlI6 after structural relaxation.

**Uncorrected energy**: -48.48 eV for the cell shown
**SG**: C2/c, No. 15
**Crystal system**: monoclinic

a b c (Å): 11.7569 11.7569 7.0114
angles (deg): 94.54 94.54 95.92
Sites, in units of the cell vectors:
Na1 0.1110 0.3495 0.4722
Na2 0.3495 0.1110 0.9722
Na3 0.6505 0.8890 0.0278
Na4 0.8890 0.6505 0.5278
Mg1 0.3200 0.6800 0.7500
Mg2 0.6800 0.3200 0.2500
Tl1 0.4212 0.5788 0.2500
Tl2 0.5788 0.4212 0.7500
I1 0.1226 0.1373 0.1714
I2 0.1373 0.1226 0.6714
I3 0.1557 0.6469 0.4417
I4 0.2883 0.4525 0.8393
I5 0.3531 0.8443 0.0583
I6 0.4525 0.2883 0.3393
I7 0.5475 0.7117 0.6607
I8 0.6469 0.1557 0.9417
I9 0.7117 0.5475 0.1607
I10 0.8443 0.3531 0.5583
I11 0.8627 0.8774 0.3286
I12 0.8774 0.8627 0.8286

[11]
Density functional theory data (PBE) for Tm2In2Ir after structural relaxation.

**Energy relative to the elements**: -0.52 eV/atom
**Uncorrected energy**: -51.79 eV for the cell shown
**SG**: I4/mmm, No. 139
**Crystal system**: tetragonal

a b c (Å): 3.4181 3.4181 20.1046
angles (deg): 90.00 90.00 90.00
Sites, in units of the cell vectors:
Tm1 0.0000 0.0000 0.0812
Tm2 0.0000 0.0000 0.9188
Tm3 0.5000 0.5000 0.4188
Tm4 0.5000 0.5000 0.5812
In1 0.0000 0.0000 0.3034
In2 0.0000 0.0000 0.6966
In3 0.5000 0.5000 0.1966
In4 0.5000 0.5000 0.8034
Ir1 0.0000 0.0000 0.5000
Ir2 0.5000 0.5000 0.0000

[12]
Density functional theory data (PBE) for ZrTc2Ir after structural relaxation.

**Energy relative to the elements**: -0.15 eV/atom
**Distance to the lowest polymorph of the same formula**: 0.036 eV per atom
**Uncorrected energy**: -38.72 eV for the cell shown
**SG**: Pmm2, No. 25
**Crystal system**: orthorhombic

a b c (Å): 2.9105 3.8141 5.8895
angles (deg): 90.00 90.00 90.00
Sites, in units of the cell vectors:
Zr1 0.0000 0.0000 0.0000
Tc1 0.0000 0.0000 0.5040
Tc2 0.5000 0.5000 0.7046
Ir1 0.5000 0.5000 0.2500